No. 1
A plane-wave DFT calculation with PBE-GGA was carried out for LaI3N after structural relaxation.

## Properties
Raw formation energy (eV/atom): -0.112
Offset from the most stable computed form (eV/f.u.): 0.000
N(E_F) (states/eV per atom): 0.000
Volume (A^3/atom): 50.3

Cell lengths 6.314, 6.314, 6.314 Å; angles 90.00, 90.00, 90.00 degrees
Sites, in units of the cell vectors:
1 La 0.000 0.000 0.000
2 I 0.000 0.000 0.500
3 I 0.000 0.500 0.000
4 I 0.500 0.000 0.000
5 N 0.500 0.500 0.500

=====

No. 2
A plane-wave DFT calculation with PBE-GGA was carried out for NaLa4I7N2 after structural relaxation.

## Properties
Raw formation energy (eV/atom): -1.586
N(E_F) (states/eV per atom): 0.000
Volume (A^3/atom): 36.2

Cell lengths 14.681, 11.400, 12.127 Å; angles 90.00, 90.00, 90.00 degrees
Sites, in units of the cell vectors:
1 Na 0.097 0.048 0.000
2 Na 0.403 0.548 0.500
3 Na 0.597 0.452 0.000
4 Na 0.903 0.952 0.500
5 La 0.081 0.380 0.303
6 La 0.081 0.385 0.769
7 La 0.085 0.626 0.536
8 La 0.108 0.571 0.035
9 La 0.392 0.071 0.535
10 La 0.415 0.126 0.036
11 La 0.419 0.880 0.803
12 La 0.419 0.885 0.269
13 La 0.581 0.115 0.769
14 La 0.581 0.120 0.303
15 La 0.585 0.874 0.536
16 La 0.608 0.929 0.035
17 La 0.892 0.429 0.535
18 La 0.915 0.374 0.036
19 La 0.919 0.615 0.269
20 La 0.919 0.620 0.803
21 I 0.016 0.199 0.524
22 I 0.021 0.847 0.692
23 I 0.044 0.833 0.349
24 I 0.201 0.305 0.016
25 I 0.223 0.614 0.801
26 I 0.227 0.400 0.540
27 I 0.241 0.577 0.257
28 I 0.259 0.077 0.757
29 I 0.273 0.900 0.040
30 I 0.277 0.114 0.301
31 I 0.299 0.805 0.516
32 I 0.456 0.333 0.849
33 I 0.479 0.347 0.192
34 I 0.484 0.699 0.024
35 I 0.516 0.301 0.524
36 I 0.521 0.653 0.692
37 I 0.544 0.667 0.349
38 I 0.701 0.195 0.016
39 I 0.723 0.886 0.801
40 I 0.727 0.100 0.540
41 I 0.741 0.923 0.257
42 I 0.759 0.423 0.757
43 I 0.773 0.600 0.040
44 I 0.777 0.386 0.301
45 I 0.799 0.695 0.516
46 I 0.956 0.167 0.849
47 I 0.979 0.153 0.192
48 I 0.984 0.801 0.024
49 N 0.003 0.487 0.909
50 N 0.005 0.484 0.161
51 N 0.495 0.984 0.661
52 N 0.497 0.987 0.409
53 N 0.503 0.013 0.909
54 N 0.505 0.016 0.161
55 N 0.995 0.516 0.661
56 N 0.997 0.513 0.409

=====

No. 3
A plane-wave DFT calculation with PBE-GGA was carried out for NaLaI2N after structural relaxation.

## Properties
Raw formation energy (eV/atom): 0.082
Offset from the most stable computed form (eV/f.u.): 4.338
N(E_F) (states/eV per atom): 0.680
Volume (A^3/atom): 27.3

Cell lengths 5.555, 5.555, 4.424 Å; angles 90.00, 90.00, 90.00 degrees
Sites, in units of the cell vectors:
1 Na 0.000 0.000 0.000
2 La 0.500 0.500 0.500
3 I 0.000 0.500 0.000
4 I 0.500 0.000 0.000
5 N 0.000 0.000 0.500

=====

No. 4
A plane-wave DFT calculation with PBE-GGA was carried out for NaLaIN2 after structural relaxation.

## Properties
Raw formation energy (eV/atom): 0.112
Offset from the most stable computed form (eV/f.u.): 0.000
N(E_F) (states/eV per atom): 0.768
Volume (A^3/atom): 27.1

Cell lengths 4.431, 4.431, 6.909 Å; angles 90.00, 90.00, 90.00 degrees
Sites, in units of the cell vectors:
1 Na 0.000 0.000 0.000
2 La 0.500 0.500 0.500
3 I 0.500 0.500 0.000
4 N 0.000 0.500 0.500
5 N 0.500 0.000 0.500

=====

Please write out number 3 again, unchanged.
A plane-wave DFT calculation with PBE-GGA was carried out for NaLaI2N after structural relaxation.

## Properties
Raw formation energy (eV/atom): 0.082
Offset from the most stable computed form (eV/f.u.): 4.338
N(E_F) (states/eV per atom): 0.680
Volume (A^3/atom): 27.3

Cell lengths 5.555, 5.555, 4.424 Å; angles 90.00, 90.00, 90.00 degrees
Sites, in units of the cell vectors:
1 Na 0.000 0.000 0.000
2 La 0.500 0.500 0.500
3 I 0.000 0.500 0.000
4 I 0.500 0.000 0.000
5 N 0.000 0.000 0.500

=====

volume of number 1 (LaI3N)? 50.3 A^3/atom